(1)
Density functional theory data (PBE) for a relaxed structure of Th4OsRh3.

CIF file:
```
data_Th4OsRh3
_chemical_formula_sum 'Th4 Os1 Rh3'
_space_group_name_H-M_alt 'P 1'
_space_group_IT_number 1
_cell_length_a 7.101
_cell_length_b 7.101
_cell_length_c 4.103
_cell_angle_alpha 90.00
_cell_angle_beta 90.00
_cell_angle_gamma 109.30
loop_
_space_group_symop_operation_xyz
'x,y,z'
loop_
_atom_site_label
_atom_site_fract_x
_atom_site_fract_y
_atom_site_fract_z
_atom_site_occupancy
Th1 0.245 0.245 0.500 1
Th2 0.247 0.753 0.000 1
Th3 0.753 0.247 0.000 1
Th4 0.755 0.755 0.500 1
Os1 0.000 0.000 0.000 1
Rh1 0.000 0.500 0.500 1
Rh2 0.500 0.000 0.500 1
Rh3 0.500 0.500 0.000 1
```

Output
- DOS at the Fermi energy: 0.7137 states/eV/atom
- DFT formation energy: -5.81 eV per formula unit

(2)
Density functional theory data (PBE) for a relaxed structure of RbFeAsBr2.

CIF file:
```
data_RbFeAsBr2
_chemical_formula_sum 'Rb1 Fe1 As1 Br2'
_space_group_name_H-M_alt 'P 1'
_space_group_IT_number 1
_cell_length_a 5.562
_cell_length_b 5.562
_cell_length_c 4.545
_cell_angle_alpha 90.00
_cell_angle_beta 90.00
_cell_angle_gamma 90.00
loop_
_space_group_symop_operation_xyz
'x,y,z'
loop_
_atom_site_label
_atom_site_fract_x
_atom_site_fract_y
_atom_site_fract_z
_atom_site_occupancy
Rb1 0.000 0.000 0.000 1
Fe1 0.500 0.500 0.500 1
As1 0.500 0.500 0.000 1
Br1 0.000 0.500 0.500 1
Br2 0.500 0.000 0.500 1
```

Output
- E_form (uncorrected): -429 meV/atom
- DOS at the Fermi energy: 0.9241 states/eV/atom
- Distance to the lowest polymorph of the same formula: 0.00 eV/f.u.

(3)
Density functional theory data (PBE) for a relaxed structure of CoOs2Ru.

CIF file:
```
data_CoOs2Ru
_chemical_formula_sum 'Co1 Os2 Ru1'
_space_group_name_H-M_alt 'P 1'
_space_group_IT_number 1
_cell_length_a 4.482
_cell_length_b 4.482
_cell_length_c 2.735
_cell_angle_alpha 90.00
_cell_angle_beta 90.00
_cell_angle_gamma 90.00
loop_
_space_group_symop_operation_xyz
'x,y,z'
loop_
_atom_site_label
_atom_site_fract_x
_atom_site_fract_y
_atom_site_fract_z
_atom_site_occupancy
Co1 0.000 0.000 0.000 1
Os1 0.000 0.500 0.500 1
Os2 0.500 0.000 0.500 1
Ru1 0.500 0.500 0.000 1
```

Output
- DOS at the Fermi energy: 1.5528 states/eV/atom
- Distance to the lowest polymorph of the same formula: 1.65 eV/f.u.
- DFT formation energy: 2.21 eV per formula unit

(4)
Density functional theory data (PBE) for a relaxed structure of Ta2ReRh2.

CIF file:
```
data_Ta2ReRh2
_chemical_formula_sum 'Ta4 Re2 Rh4'
_space_group_name_H-M_alt 'P 1'
_space_group_IT_number 1
_cell_length_a 7.404
_cell_length_b 7.404
_cell_length_c 2.967
_cell_angle_alpha 90.00
_cell_angle_beta 90.00
_cell_angle_gamma 90.00
loop_
_space_group_symop_operation_xyz
'x,y,z'
loop_
_atom_site_label
_atom_site_fract_x
_atom_site_fract_y
_atom_site_fract_z
_atom_site_occupancy
Ta1 0.174 0.326 0.000 1
Ta2 0.326 0.826 0.000 1
Ta3 0.674 0.174 0.000 1
Ta4 0.826 0.674 0.000 1
Re1 0.000 0.000 0.500 1
Re2 0.500 0.500 0.500 1
Rh1 0.128 0.628 0.500 1
Rh2 0.372 0.128 0.500 1
Rh3 0.628 0.872 0.500 1
Rh4 0.872 0.372 0.500 1
```

Output
- DOS at the Fermi energy: 1.0101 states/eV/atom
- DFT formation energy: -0.55 eV per formula unit

(5)
Density functional theory data (PBE) for a relaxed structure of SiSnN2F.

CIF file:
```
data_SiSnN2F
_chemical_formula_sum 'Si1 Sn1 N2 F1'
_space_group_name_H-M_alt 'P 1'
_space_group_IT_number 1
_cell_length_a 3.740
_cell_length_b 3.740
_cell_length_c 3.827
_cell_angle_alpha 90.00
_cell_angle_beta 90.00
_cell_angle_gamma 90.00
loop_
_space_group_symop_operation_xyz
'x,y,z'
loop_
_atom_site_label
_atom_site_fract_x
_atom_site_fract_y
_atom_site_fract_z
_atom_site_occupancy
Si1 0.000 0.000 0.000 1
Sn1 0.500 0.500 0.500 1
N1 0.000 0.500 0.000 1
N2 0.500 0.000 0.000 1
F1 0.000 0.000 0.500 1
```

Output
- E_form (uncorrected): -341 meV/atom
- DOS at the Fermi energy: 0.4034 states/eV/atom
- Distance to the lowest polymorph of the same formula: 0.00 eV/f.u.

(6)
Density functional theory data (PBE) for a relaxed structure of La2ErGe2.

CIF file:
```
data_La2ErGe2
_chemical_formula_sum 'La4 Er2 Ge4'
_space_group_name_H-M_alt 'P 1'
_space_group_IT_number 1
_cell_length_a 6.736
_cell_length_b 6.736
_cell_length_c 11.031
_cell_angle_alpha 115.48
_cell_angle_beta 115.48
_cell_angle_gamma 38.91
loop_
_space_group_symop_operation_xyz
'x,y,z'
loop_
_atom_site_label
_atom_site_fract_x
_atom_site_fract_y
_atom_site_fract_z
_atom_site_occupancy
La1 0.015 0.015 0.187 1
La2 0.179 0.179 0.591 1
La3 0.821 0.821 0.409 1
La4 0.985 0.985 0.813 1
Er1 0.276 0.276 0.132 1
Er2 0.724 0.724 0.868 1
Ge1 0.382 0.382 0.941 1
Ge2 0.490 0.490 0.612 1
Ge3 0.510 0.510 0.388 1
Ge4 0.618 0.618 0.059 1
```

Output
- DOS at the Fermi energy: 0.7727 states/eV/atom
- Distance to the lowest polymorph of the same formula: 0.26 eV/f.u.
- DFT formation energy: -3.70 eV per formula unit

(7)
Density functional theory data (PBE) for a relaxed structure of SrDy2Al9.

CIF file:
```
data_SrDy2Al9
_chemical_formula_sum 'Sr1 Dy2 Al9'
_space_group_name_H-M_alt 'P 1'
_space_group_IT_number 1
_cell_length_a 9.400
_cell_length_b 9.400
_cell_length_c 9.400
_cell_angle_alpha 35.02
_cell_angle_beta 35.02
_cell_angle_gamma 35.02
loop_
_space_group_symop_operation_xyz
'x,y,z'
loop_
_atom_site_label
_atom_site_fract_x
_atom_site_fract_y
_atom_site_fract_z
_atom_site_occupancy
Sr1 0.000 0.000 0.000 1
Dy1 0.142 0.142 0.142 1
Dy2 0.858 0.858 0.858 1
Al1 0.077 0.589 0.589 1
Al2 0.336 0.336 0.336 1
Al3 0.411 0.411 0.923 1
Al4 0.411 0.923 0.411 1
Al5 0.500 0.500 0.500 1
Al6 0.589 0.077 0.589 1
Al7 0.589 0.589 0.077 1
Al8 0.664 0.664 0.664 1
Al9 0.923 0.411 0.411 1
```

Output
- DOS at the Fermi energy: 0.3640 states/eV/atom
- DFT formation energy: -3.99 eV per formula unit

(8)
Density functional theory data (PBE) for a relaxed structure of PrDy2AgHg4.

CIF file:
```
data_PrDy2AgHg4
_chemical_formula_sum 'Pr1 Dy2 Ag1 Hg4'
_space_group_name_H-M_alt 'P 1'
_space_group_IT_number 1
_cell_length_a 9.522
_cell_length_b 9.522
_cell_length_c 9.522
_cell_angle_alpha 30.98
_cell_angle_beta 30.98
_cell_angle_gamma 30.98
loop_
_space_group_symop_operation_xyz
'x,y,z'
loop_
_atom_site_label
_atom_site_fract_x
_atom_site_fract_y
_atom_site_fract_z
_atom_site_occupancy
Pr1 0.000 0.000 0.000 1
Dy1 0.239 0.239 0.239 1
Dy2 0.761 0.761 0.761 1
Ag1 0.500 0.500 0.500 1
Hg1 0.125 0.125 0.125 1
Hg2 0.382 0.382 0.382 1
Hg3 0.618 0.618 0.618 1
Hg4 0.875 0.875 0.875 1
```

Output
- DOS at the Fermi energy: 0.8154 states/eV/atom
- DFT formation energy: -3.02 eV per formula unit

(9)
Density functional theory data (PBE) for a relaxed structure of LaDyErTl.

CIF file:
```
data_LaDyErTl
_chemical_formula_sum 'La1 Dy1 Er1 Tl1'
_space_group_name_H-M_alt 'P 1'
_space_group_IT_number 1
_cell_length_a 5.483
_cell_length_b 5.483
_cell_length_c 5.483
_cell_angle_alpha 120.06
_cell_angle_beta 120.06
_cell_angle_gamma 89.89
loop_
_space_group_symop_operation_xyz
'x,y,z'
loop_
_atom_site_label
_atom_site_fract_x
_atom_site_fract_y
_atom_site_fract_z
_atom_site_occupancy
La1 0.000 0.000 0.000 1
Dy1 0.250 0.750 0.500 1
Er1 0.750 0.250 0.500 1
Tl1 0.500 0.500 0.000 1
```

Output
- DOS at the Fermi energy: 1.9513 states/eV/atom
- Distance to the lowest polymorph of the same formula: 0.30 eV/f.u.
- DFT formation energy: 0.02 eV per formula unit

(10)
Density functional theory data (PBE) for a relaxed structure of Na3In7Hg2.

CIF file:
```
data_Na3In7Hg2
_chemical_formula_sum 'Na3 In7 Hg2'
_space_group_name_H-M_alt 'P 1'
_space_group_IT_number 1
_cell_length_a 10.446
_cell_length_b 10.446
_cell_length_c 10.446
_cell_angle_alpha 35.39
_cell_angle_beta 35.39
_cell_angle_gamma 35.39
loop_
_space_group_symop_operation_xyz
'x,y,z'
loop_
_atom_site_label
_atom_site_fract_x
_atom_site_fract_y
_atom_site_fract_z
_atom_site_occupancy
Na1 0.000 0.000 0.000 1
Na2 0.139 0.139 0.139 1
Na3 0.861 0.861 0.861 1
In1 0.074 0.590 0.590 1
In2 0.410 0.410 0.926 1
In3 0.410 0.926 0.410 1
In4 0.500 0.500 0.500 1
In5 0.590 0.074 0.590 1
In6 0.590 0.590 0.074 1
In7 0.926 0.410 0.410 1
Hg1 0.336 0.336 0.336 1
Hg2 0.664 0.664 0.664 1
```

Output
- DOS at the Fermi energy: 0.2647 states/eV/atom
- DFT formation energy: -0.82 eV per formula unit

(11)
Density functional theory data (PBE) for a relaxed structure of TbPm2Cd3.

CIF file:
```
data_TbPm2Cd3
_chemical_formula_sum 'Tb1 Pm2 Cd3'
_space_group_name_H-M_alt 'P 1'
_space_group_IT_number 1
_cell_length_a 3.802
_cell_length_b 3.802
_cell_length_c 11.454
_cell_angle_alpha 90.00
_cell_angle_beta 90.00
_cell_angle_gamma 90.00
loop_
_space_group_symop_operation_xyz
'x,y,z'
loop_
_atom_site_label
_atom_site_fract_x
_atom_site_fract_y
_atom_site_fract_z
_atom_site_occupancy
Tb1 0.000 0.000 0.000 1
Pm1 0.000 0.000 0.331 1
Pm2 0.000 0.000 0.669 1
Cd1 0.500 0.500 0.159 1
Cd2 0.500 0.500 0.500 1
Cd3 0.500 0.500 0.841 1
```

Output
- DOS at the Fermi energy: 1.1529 states/eV/atom
- DFT formation energy: -1.91 eV per formula unit

Question: The lowest DOS at the Fermi energy belongs to which entry?
Answer: Na3In7Hg2

Question: The highest DOS at the Fermi energy belongs to which entry?
Answer: LaDyErTl